Compound: MgNiO2
Source: Alexandria via LeMat-Bulk
Functional: PBE with a Hubbard U
Structure: relaxed

calculated volume = 11.699 Å³/atom
total DFT energy (no corrections) = -60.8 eV per cell
N(E_F) = 0.000 states/eV/f.u.

Unit cell a=3.1024 b=3.1024 c=16.8424 alpha=90.00 beta=90.00 gamma=120.00
Space group R-3m (No. 166, hexagonal axes)
Asymmetric unit:
Mg  0.0000  0.0000  0.0000 x3
Ni  0.0000  0.0000  0.5000 x3
O  0.0000  0.0000  0.3970 x6